1.
Below is crystalline PtBr2Cl at its relaxed geometry, with properties calculated at the PBE level.

```
PtBr2Cl
1.0
1.9479 1.1246 7.0511
-1.9479 1.1246 7.0511
0.0000 -2.2492 7.0511
Pt Br Cl
1 2 1
direct
0.0000 0.0000 0.0000 Pt
0.2687 0.2687 0.2687 Br
0.7313 0.7313 0.7313 Br
0.5000 0.5000 0.5000 Cl
```

Values from the calculation:
- raw formation energy (eV/atom) = 0.095
- energy above the most stable polymorph in this dataset (meV/atom) = 329
- total moment (μB per cell) = 0.7
- N(E_F) (states/eV/f.u.) = 4.00

=====

2.
Below is crystalline Pt2BrCl at its relaxed geometry, with properties calculated at the PBE level.

```
Pt2BrCl
1.0
-1.5250 2.9880 4.1915
1.5250 -2.9880 4.1915
1.5250 2.9880 -4.1915
Pt Br Cl
2 1 1
direct
0.2463 0.2463 0.0000 Pt
0.7537 0.7537 0.0000 Pt
0.5000 0.0000 0.5000 Br
0.0000 0.5000 0.5000 Cl
```

Values from the calculation:
- raw formation energy (eV/atom) = 0.526
- energy above the most stable polymorph in this dataset (meV/atom) = 744
- total moment (μB per cell) = 0.0
- N(E_F) (states/eV/f.u.) = 3.23

=====

3.
Below is crystalline PtBr2Cl at its relaxed geometry, with properties calculated at the PBE level.

```
PtBr2Cl
1.0
-4.6350 4.6350 2.5027
4.6350 -4.6350 2.5027
4.6350 4.6350 -2.5027
Pt Br Cl
2 4 2
direct
0.0000 0.0000 0.0000 Pt
0.7500 0.2500 0.5000 Pt
0.3750 0.2309 0.3559 Br
0.7691 0.1250 0.1441 Br
0.8750 0.0191 0.6441 Br
0.9809 0.6250 0.8559 Br
0.2500 0.7500 0.5000 Cl
0.5000 0.5000 0.0000 Cl
```

Values from the calculation:
- raw formation energy (eV/atom) = 0.051
- energy above the most stable polymorph in this dataset (meV/atom) = 285
- total moment (μB per cell) = 0.0
- N(E_F) (states/eV/f.u.) = 4.32

=====

4.
Below is crystalline PtBr2Cl at its relaxed geometry, with properties calculated at the PBE level.

```
PtBr2Cl
1.0
2.5105 -4.5026 0.0000
2.5105 4.5026 0.0000
-2.4941 0.0000 4.4269
Pt Br Cl
1 2 1
direct
0.0000 0.0000 0.0000 Pt
0.0000 0.5000 0.5000 Br
0.5000 0.0000 0.5000 Br
0.5000 0.5000 0.0000 Cl
```

Values from the calculation:
- raw formation energy (eV/atom) = 0.561
- energy above the most stable polymorph in this dataset (meV/atom) = 796
- total moment (μB per cell) = 0.0
- N(E_F) (states/eV/f.u.) = 6.71